(1)
Compound: In3Ag8Hg2
Source: Alexandria via LeMat-Bulk
Functional: PBE
Structure: relaxed

As for the total energy: -2.36 eV per atom. The energy relative to the elements is 1.0 eV/f.u. The excess energy over the best structure of this formula in the dataset is 0 meV/atom. For the total magnetization, the calculation gives 0.0000 μB/atom.

The structure belongs to space group R-3m (No. 166, hexagonal axes); the cell edges are 5.5780, 5.5780 and 31.3696 Å and the angles 90.00°, 90.00° and 120.00°. The distinct sites, in fractional coordinates, are In at (0.0000, 0.0000, 0.0000), In at (0.0000, 0.0000, 0.1835), Ag at (0.0000, 0.0000, 0.2714), Ag at (0.0000, 0.5000, 0.2286) and Hg at (0.0000, 0.0000, 0.3594).

(2)
Compound: RbNbGa3
Source: Alexandria via LeMat-Bulk
Functional: PBE
Structure: relaxed

As for the total energy: -2.06 eV per atom. The energy relative to the elements is 9.8 eV/f.u. The excess energy over the best structure of this formula in the dataset is 1801 meV/atom. For the total magnetization, the calculation gives 0.0000 μB/atom.

The structure belongs to space group Pm-3m (No. 221); the cell edges are 5.327, 5.327 and 5.327 Å and the angles 90.00°, 90.00° and 90.00°. The distinct sites, in fractional coordinates, are Rb at (0.000, 0.000, 0.000), Nb at (0.500, 0.500, 0.500) and Ga at (0.000, 0.000, 0.500).